Entry 1:
A plane-wave DFT calculation with GGA-PBE was carried out for crystalline MnFeTcP at its relaxed geometry.

Calculated values
Formation enthalpy at 0 K ... -0.21 eV/atom
Magnetic moment ... 0.75 μB per atom

```
MnFeTcP
1.0
4.064 0.000 0.000
2.032 3.520 0.000
2.032 1.173 3.319
Fe Mn Tc P
1 1 1 1
Direct
0.250 0.250 0.250 Fe
0.500 0.500 0.500 Mn
0.750 0.750 0.750 Tc
0.000 0.000 0.000 P
```



Entry 2:
A plane-wave DFT calculation with GGA-PBE was carried out for crystalline ThMnFeP2 at its relaxed geometry.

Calculated values
Formation enthalpy at 0 K ... -0.97 eV/atom
Magnetic moment ... 0.00 μB per atom

```
ThMnFeP2
1.0
3.929 0.000 0.000
0.000 3.929 0.000
-1.964 -1.964 4.906
P Mn Fe Th
2 1 1 1
Direct
0.357 0.357 0.715 P
0.643 0.643 0.285 P
0.250 0.750 0.500 Mn
0.750 0.250 0.500 Fe
0.000 0.000 0.000 Th
```